# 1
Mg4In5Ga: optimized geometry, PBE.

Unit cell a=5.5390 b=6.4702 c=7.1837 alpha=75.70 beta=73.36 gamma=74.17
Positions (direct):
Mg: 0.1012 0.3969 0.3084
Mg: 0.3015 0.2034 0.8928
Mg: 0.6985 0.7966 0.1072
Mg: 0.8988 0.6031 0.6916
In: 0.1104 0.8925 0.2960
In: 0.2961 0.6892 0.8962
In: 0.5000 0.0000 0.5000
In: 0.7039 0.3108 0.1038
In: 0.8896 0.1075 0.7040
Ga: 0.5000 0.5000 0.5000

Properties
The density comes out at 5.3 g cm⁻³. For the uncorrected energy, the calculation gives -2.38 eV per atom. The calculated formation energy comes out at -68 meV per atom. Its distance to the lowest polymorph of the same formula is 0 meV per atom.

---

# 2
MgIn4Ga4: optimized geometry, PBE.

Unit cell a=6.9008 b=6.9008 c=6.9008 alpha=97.48 beta=97.48 gamma=137.70
Positions (direct):
Mg: 0.0000 0.0000 0.0000
In: 0.3284 0.6687 0.9971
In: 0.3313 0.3284 0.6597
In: 0.6687 0.6716 0.3403
In: 0.6716 0.3313 0.0029
Ga: 0.0012 0.3449 0.3461
Ga: 0.3449 0.9988 0.3438
Ga: 0.6551 0.0012 0.6562
Ga: 0.9988 0.6551 0.6539

Properties
The density comes out at 6.1 g cm⁻³. For the uncorrected energy, the calculation gives -2.72 eV per atom. The calculated formation energy comes out at 23 meV per atom.

---

# 3
Mg2In3Ga2: optimized geometry, PBE.

Unit cell a=5.4350 b=5.5155 c=5.5845 alpha=103.42 beta=98.29 gamma=96.40
Positions (direct):
Mg: 0.0610 0.1565 0.2867
Mg: 0.9390 0.8435 0.7133
In: 0.3585 0.7047 0.4081
In: 0.5000 0.0000 0.0000
In: 0.6415 0.2953 0.5919
Ga: 0.2020 0.4141 0.8636
Ga: 0.7980 0.5859 0.1364

Properties
The density comes out at 5.6 g cm⁻³. For the uncorrected energy, the calculation gives -2.54 eV per atom. The calculated formation energy comes out at -45 meV per atom. Its distance to the lowest polymorph of the same formula is 0 meV per atom.

---

# 4
Mg4In2Ga: optimized geometry, PBE.

Unit cell a=9.6228 b=9.6228 c=5.3870 alpha=105.91 beta=105.91 gamma=19.60
Positions (direct):
Mg: 0.0811 0.0811 0.0811
Mg: 0.3711 0.3711 0.3700
Mg: 0.6289 0.6289 0.6300
Mg: 0.9189 0.9189 0.9189
In: 0.2745 0.2745 0.7760
In: 0.7255 0.7255 0.2240
Ga: 0.0000 0.0000 0.5000

Properties
The density comes out at 4.1 g cm⁻³. For the uncorrected energy, the calculation gives -2.17 eV per atom. The calculated formation energy comes out at -47 meV per atom. Its distance to the lowest polymorph of the same formula is 0 meV per atom.

---

# 5
MgInGa: optimized geometry, PBE.

Unit cell a=4.6276 b=4.6276 c=4.6276 alpha=60.00 beta=60.00 gamma=60.00
Positions (direct):
Mg: 0.0000 0.0000 0.0000
In: 0.5000 0.5000 0.5000
Ga: 0.2500 0.2500 0.2500

Properties
The density comes out at 4.9 g cm⁻³. For the uncorrected energy, the calculation gives -2.52 eV per atom. The calculated formation energy comes out at -71 meV per atom.

---

# 6
Mg3InGa12: optimized geometry, PBE.

Unit cell a=4.3092 b=4.3092 c=16.4835 alpha=90.00 beta=90.00 gamma=90.00
Positions (direct):
Mg: 0.0000 0.0000 0.0000
Mg: 0.0000 0.0000 0.2429
Mg: 0.0000 0.0000 0.7571
In: 0.0000 0.0000 0.5000
Ga: 0.0000 0.5000 0.1221
Ga: 0.0000 0.5000 0.3656
Ga: 0.0000 0.5000 0.6344
Ga: 0.0000 0.5000 0.8779
Ga: 0.5000 0.0000 0.1221
Ga: 0.5000 0.0000 0.3656
Ga: 0.5000 0.0000 0.6344
Ga: 0.5000 0.0000 0.8779
Ga: 0.5000 0.5000 0.0000
Ga: 0.5000 0.5000 0.2434
Ga: 0.5000 0.5000 0.5000
Ga: 0.5000 0.5000 0.7566

Properties
The density comes out at 5.6 g cm⁻³. For the uncorrected energy, the calculation gives -2.80 eV per atom. The calculated formation energy comes out at -55 meV per atom.